1.
Computed, not measured: a relaxed TmSe2O6F2 crystal at the PBE-GGA level of DFT. Values from VASP.

Output
Calculated density ... 3.78 g/cm³
Density of states at the Fermi level ... 0.3863 states/eV per atom
Formation energy without anion corrections ... -15.89 eV per formula unit

Quantum ESPRESSO input file:
```
&SYSTEM
  ibrav = 0, nat = 11, ntyp = 4
/
ATOMIC_SPECIES
Tm 168.93 Tm.upf
Se 78.96 Se.upf
O 16.00 O.upf
F 19.00 F.upf
ATOMIC_POSITIONS crystal
Tm 0.000 0.000 0.000
Se 0.333 0.667 0.737
Se 0.667 0.333 0.263
O 0.177 0.353 0.812
O 0.176 0.823 0.812
O 0.647 0.824 0.812
O 0.823 0.647 0.188
O 0.824 0.177 0.188
O 0.353 0.176 0.188
F 0.333 0.667 0.462
F 0.667 0.333 0.538
CELL_PARAMETERS angstrom
5.881 0.000 0.000
-2.940 5.093 0.000
0.000 0.000 6.761
```



2.
Computed, not measured: a relaxed Sm4Hg5Ru2 crystal at the PBE-GGA level of DFT. Values from VASP.

Output
Calculated density ... 10.83 g/cm³
Density of states at the Fermi level ... 0.7108 states/eV per atom
Calculated formation energy ... -0.36 eV per atom

Quantum ESPRESSO input file:
```
&SYSTEM
  ibrav = 0, nat = 11, ntyp = 3
/
ATOMIC_SPECIES
Sm 150.36 Sm.upf
Hg 200.59 Hg.upf
Ru 101.07 Ru.upf
ATOMIC_POSITIONS crystal
Sm 0.500 0.782 0.561
Sm 0.500 0.180 0.846
Sm 0.500 0.218 0.439
Sm 0.500 0.820 0.154
Hg 0.000 0.549 0.331
Hg 0.000 0.169 0.147
Hg 0.000 0.500 0.000
Hg 0.000 0.831 0.853
Hg 0.000 0.451 0.669
Ru 0.000 0.074 0.640
Ru 0.000 0.926 0.360
CELL_PARAMETERS angstrom
3.751 0.000 0.000
0.000 7.731 -0.060
0.000 -0.819 9.554
```



3.
Computed, not measured: a relaxed La2Si4Pd3Pt crystal at the PBE-GGA level of DFT. Values from VASP.

Output
Calculated density ... 8.11 g/cm³
Density of states at the Fermi level ... 0.6082 states/eV per atom
Formation energy without anion corrections ... -9.58 eV per formula unit

Quantum ESPRESSO input file:
```
&SYSTEM
  ibrav = 0, nat = 10, ntyp = 4
/
ATOMIC_SPECIES
La 138.91 La.upf
Si 28.09 Si.upf
Pd 106.42 Pd.upf
Pt 195.08 Pt.upf
ATOMIC_POSITIONS crystal
La 0.500 0.000 0.245
La 0.000 0.500 0.755
Si 0.500 0.500 0.000
Si 0.000 0.000 0.000
Si 0.500 0.000 0.629
Si 0.000 0.500 0.371
Pd 0.000 0.000 0.500
Pd 0.500 0.000 0.877
Pd 0.000 0.500 0.123
Pt 0.500 0.500 0.500
CELL_PARAMETERS angstrom
-2.545 -2.065 -2.781
3.094 -2.907 -0.673
-3.631 -5.597 7.478
```



4.
Computed, not measured: a relaxed LiFe2H crystal at the PBE-GGA level of DFT. Values from VASP.

Output
Calculated density ... 4.06 g/cm³
Density of states at the Fermi level ... 0.6391 states/eV per atom
E above lowest polymorph ... 105 meV per atom

Quantum ESPRESSO input file:
```
&SYSTEM
  ibrav = 0, nat = 8, ntyp = 3
/
ATOMIC_SPECIES
H 1.01 H.upf
Fe 55.84 Fe.upf
Li 6.94 Li.upf
ATOMIC_POSITIONS crystal
H 0.500 0.500 0.000
H 0.250 0.750 0.500
Fe 0.375 0.125 0.250
Fe 0.375 0.625 0.250
Fe 0.375 0.625 0.750
Fe 0.875 0.625 0.750
Li 0.000 0.000 0.000
Li 0.750 0.250 0.500
CELL_PARAMETERS angstrom
-3.937 -0.262 -3.352
-2.845 -2.492 3.536
-4.653 1.814 1.325
```



5.
Computed, not measured: a relaxed SnTe crystal at the PBE-GGA level of DFT. Values from VASP.

Output
Calculated density ... 4.91 g/cm³
Density of states at the Fermi level ... 0.0044 states/eV per atom
Formation energy without anion corrections ... -0.24 eV per formula unit

Quantum ESPRESSO input file:
```
&SYSTEM
  ibrav = 0, nat = 16, ntyp = 2
/
ATOMIC_SPECIES
Sn 118.71 Sn.upf
Te 127.60 Te.upf
ATOMIC_POSITIONS crystal
Sn 0.269 0.854 0.000
Sn 0.731 0.146 0.000
Sn 0.146 0.269 0.000
Sn 0.854 0.731 0.000
Sn 0.769 0.354 0.500
Sn 0.231 0.646 0.500
Sn 0.646 0.769 0.500
Sn 0.354 0.231 0.500
Te 0.512 0.243 0.000
Te 0.488 0.757 0.000
Te 0.757 0.512 0.000
Te 0.243 0.488 0.000
Te 0.012 0.743 0.500
Te 0.988 0.257 0.500
Te 0.257 0.012 0.500
Te 0.743 0.988 0.500
CELL_PARAMETERS angstrom
12.390 0.000 0.000
0.000 12.390 0.000
0.000 0.000 4.345
```



6.
Computed, not measured: a relaxed Mg3MoBr crystal at the PBE-GGA level of DFT. Values from VASP.

Output
Calculated density ... 3.13 g/cm³
Density of states at the Fermi level ... 0.5419 states/eV per atom
Formation energy without anion corrections ... 4.76 eV per formula unit
E above lowest polymorph ... 127 meV per atom

Quantum ESPRESSO input file:
```
&SYSTEM
  ibrav = 0, nat = 5, ntyp = 3
/
ATOMIC_SPECIES
Mo 95.94 Mo.upf
Mg 24.30 Mg.upf
Br 79.90 Br.upf
ATOMIC_POSITIONS crystal
Mo 0.500 0.500 0.500
Mg 0.000 0.500 0.000
Mg 0.000 0.000 0.500
Mg 0.500 0.000 0.000
Br 0.000 0.000 0.000
CELL_PARAMETERS angstrom
5.089 0.000 0.000
0.000 5.089 0.000
0.000 0.000 5.089
```



7.
Computed, not measured: a relaxed Ho2Ge3Pd crystal at the PBE-GGA level of DFT. Values from VASP.

Output
Calculated density ... 8.78 g/cm³
Density of states at the Fermi level ... 0.4478 states/eV per atom
Calculated formation energy ... -0.78 eV per atom
E above lowest polymorph ... 0 meV per atom

Quantum ESPRESSO input file:
```
&SYSTEM
  ibrav = 0, nat = 12, ntyp = 3
/
ATOMIC_SPECIES
Ho 164.93 Ho.upf
Ge 72.64 Ge.upf
Pd 106.42 Pd.upf
ATOMIC_POSITIONS crystal
Ho 0.250 0.750 0.500
Ho 0.754 0.754 0.000
Ho 0.750 0.250 0.500
Ho 0.246 0.246 0.000
Ge 0.336 0.831 0.167
Ge 0.169 0.664 0.833
Ge 0.664 0.169 0.833
Ge 0.831 0.336 0.167
Ge 0.168 0.168 0.336
Ge 0.832 0.832 0.664
Pd 0.667 0.667 0.334
Pd 0.333 0.333 0.666
CELL_PARAMETERS angstrom
-0.718 -5.684 -0.959
4.081 -0.903 4.034
-6.864 3.073 3.655
```



8.
Computed, not measured: a relaxed ScCoMo2 crystal at the PBE-GGA level of DFT. Values from VASP.

Output
Calculated density ... 7.86 g/cm³
Density of states at the Fermi level ... 1.1475 states/eV per atom
Calculated formation energy ... 0.17 eV per atom
E above lowest polymorph ... 157 meV per atom

Quantum ESPRESSO input file:
```
&SYSTEM
  ibrav = 0, nat = 4, ntyp = 3
/
ATOMIC_SPECIES
Co 58.93 Co.upf
Mo 95.94 Mo.upf
Sc 44.96 Sc.upf
ATOMIC_POSITIONS crystal
Co 0.500 0.500 0.750
Mo 0.000 0.000 0.965
Mo 0.000 0.000 0.535
Sc 0.500 0.500 0.250
CELL_PARAMETERS angstrom
2.742 0.007 0.000
-0.368 2.718 0.000
0.000 0.000 8.379
```